<a>
TbGd2Pd after structural relaxation. Source: Alexandria via LeMat-Bulk, functional PBE-GGA.

It has space group P4/mmm (No. 123), with a = 3.611 Å, b = 3.611 Å, c = 8.439 Å, α = 90.00°, β = 90.00° and γ = 90.00°. The inequivalent atoms are Tb at (0.000, 0.000, 0.000), Gd at (0.500, 0.500, 0.300) and Pd at (0.000, 0.000, 0.500).

For the volume, the calculation gives 27.51 Å³/atom. The magnetic moment comes out at 3.69 μB per atom.

---

<b>
TbGd2Pd after structural relaxation. Source: Alexandria via LeMat-Bulk, functional PBE-GGA.

It has space group R-3m (No. 166, hexagonal axes), with a = 3.4365 Å, b = 3.4365 Å, c = 33.2376 Å, α = 90.00°, β = 90.00° and γ = 120.00°. The inequivalent atoms are Tb at (0.0000, 0.0000, 0.0000), Gd at (0.0000, 0.0000, 0.4209) and Pd at (0.0000, 0.0000, 0.5000).

For the volume, the calculation gives 28.33 Å³/atom. The magnetic moment comes out at 3.60 μB per atom.

---

Stability summary: most stable <a>, least stable <b>.

---

<a>
GdTePd2 after structural relaxation. Source: Alexandria via LeMat-Bulk, functional PBE-GGA.

It has space group P4/mmm (No. 123), with a = 4.358 Å, b = 4.358 Å, c = 4.358 Å, α = 90.00°, β = 90.00° and γ = 90.00°. The inequivalent atoms are Gd at (0.000, 0.000, 0.000), Te at (0.500, 0.500, 0.000) and Pd at (0.000, 0.500, 0.500).

For the volume, the calculation gives 20.69 Å³/atom. The magnetic moment comes out at 1.77 μB per atom.

---

<b>
GdTePd2 after structural relaxation. Source: Alexandria via LeMat-Bulk, functional PBE-GGA.

It has space group Fm-3m (No. 225), with a = 6.921 Å, b = 6.921 Å, c = 6.921 Å, α = 90.00°, β = 90.00° and γ = 90.00°. The inequivalent atoms are Gd at (0.000, 0.000, 0.000), Te at (0.000, 0.000, 0.500) and Pd at (0.250, 0.250, 0.250).

For the volume, the calculation gives 20.72 Å³/atom. The magnetic moment comes out at 1.73 μB per atom.

---

Stability summary: most stable <a>, least stable <b>.

---

<a>
Gd2ThPd after structural relaxation. Source: Alexandria via LeMat-Bulk, functional PBE-GGA.

It has space group R-3m (No. 166, hexagonal axes), with a = 3.4637 Å, b = 3.4637 Å, c = 32.9736 Å, α = 90.00°, β = 90.00° and γ = 120.00°. The inequivalent atoms are Gd at (0.0000, 0.0000, 0.0800), Th at (0.0000, 0.0000, 0.5000) and Pd at (0.0000, 0.0000, 0.0000).

For the volume, the calculation gives 28.55 Å³/atom. The magnetic moment comes out at 3.52 μB per atom.

---

<b>
Gd2ThPd after structural relaxation. Source: Alexandria via LeMat-Bulk, functional PBE-GGA.

It has space group P4/mmm (No. 123), with a = 3.590 Å, b = 3.590 Å, c = 8.406 Å, α = 90.00°, β = 90.00° and γ = 90.00°. The inequivalent atoms are Gd at (0.000, 0.000, 0.204), Th at (0.500, 0.500, 0.500) and Pd at (0.500, 0.500, 0.000).

For the volume, the calculation gives 27.09 Å³/atom. The magnetic moment comes out at 3.64 μB per atom.

---

Stability summary: most stable <b>, least stable <a>.

---

<a>
GdTlPd after structural relaxation. Source: Alexandria via LeMat-Bulk, functional PBE-GGA.

It has space group F-43m (No. 216), with a = 6.771 Å, b = 6.771 Å, c = 6.771 Å, α = 90.00°, β = 90.00° and γ = 90.00°. The inequivalent atoms are Gd at (0.000, 0.000, 0.000), Tl at (0.000, 0.000, 0.500) and Pd at (0.250, 0.250, 0.250).

For the volume, the calculation gives 25.87 Å³/atom. The magnetic moment comes out at 2.54 μB per atom.

---

<b>
GdTlPd after structural relaxation. Source: Alexandria via LeMat-Bulk, functional PBE-GGA.

It has space group I4mm (No. 107), with a = 3.785 Å, b = 3.785 Å, c = 9.721 Å, α = 90.00°, β = 90.00° and γ = 90.00°. The inequivalent atoms are Gd at (0.000, 0.000, 0.000), Tl at (0.000, 0.000, 0.686) and Pd at (0.000, 0.000, 0.352).

For the volume, the calculation gives 23.21 Å³/atom. The magnetic moment comes out at 2.33 μB per atom.

---

Stability summary: most stable <a>, least stable <b>.

---

<a>
Gd2TmPd after structural relaxation. Source: Alexandria via LeMat-Bulk, functional PBE-GGA.

It has space group P4/mmm (No. 123), with a = 3.615 Å, b = 3.615 Å, c = 8.274 Å, α = 90.00°, β = 90.00° and γ = 90.00°. The inequivalent atoms are Gd at (0.000, 0.000, 0.204), Tm at (0.500, 0.500, 0.500) and Pd at (0.500, 0.500, 0.000).

For the volume, the calculation gives 27.04 Å³/atom. The magnetic moment comes out at 3.69 μB per atom.

---

<b>
Gd2TmPd after structural relaxation. Source: Alexandria via LeMat-Bulk, functional PBE-GGA.

It has space group R-3m (No. 166, hexagonal axes), with a = 3.4164 Å, b = 3.4164 Å, c = 33.0684 Å, α = 90.00°, β = 90.00° and γ = 120.00°. The inequivalent atoms are Gd at (0.0000, 0.0000, 0.0797), Tm at (0.0000, 0.0000, 0.5000) and Pd at (0.0000, 0.0000, 0.0000).

For the volume, the calculation gives 27.85 Å³/atom. The magnetic moment comes out at 3.60 μB per atom.

---

Stability summary: most stable <a>, least stable <b>.

---

<a>
GdYPd after structural relaxation. Source: Alexandria via LeMat-Bulk, functional PBE-GGA.

It has space group F-43m (No. 216), with a = 6.954 Å, b = 6.954 Å, c = 6.954 Å, α = 90.00°, β = 90.00° and γ = 90.00°. The inequivalent atoms are Gd at (0.000, 0.000, 0.000), Y at (0.000, 0.000, 0.500) and Pd at (0.250, 0.250, 0.750).

For the volume, the calculation gives 28.02 Å³/atom. The magnetic moment comes out at 2.42 μB per atom.

---

<b>
GdYPd after structural relaxation. Source: Alexandria via LeMat-Bulk, functional PBE-GGA.

It has space group I4mm (No. 107), with a = 3.592 Å, b = 3.592 Å, c = 11.888 Å, α = 90.00°, β = 90.00° and γ = 90.00°. The inequivalent atoms are Gd at (0.000, 0.000, 0.000), Y at (0.000, 0.000, 0.285) and Pd at (0.000, 0.000, 0.646).

For the volume, the calculation gives 25.56 Å³/atom. The magnetic moment comes out at 2.70 μB per atom.

---

Stability summary: most stable <b>, least stable <a>.

---

<a>
Gd2ZnPd after structural relaxation. Source: Alexandria via LeMat-Bulk, functional PBE-GGA.

It has space group R-3m (No. 166, hexagonal axes), with a = 4.0857 Å, b = 4.0857 Å, c = 27.8052 Å, α = 90.00°, β = 90.00° and γ = 120.00°. The inequivalent atoms are Gd at (0.0000, 0.0000, 0.1112), Zn at (0.0000, 0.0000, 0.0000) and Pd at (0.0000, 0.0000, 0.5000).

For the volume, the calculation gives 33.50 Å³/atom. The magnetic moment comes out at 3.60 μB per atom.

---

<b>
Gd2ZnPd after structural relaxation. Source: Alexandria via LeMat-Bulk, functional PBE-GGA.

It has space group P4/mmm (No. 123), with a = 3.596 Å, b = 3.596 Å, c = 7.059 Å, α = 90.00°, β = 90.00° and γ = 90.00°. The inequivalent atoms are Gd at (0.000, 0.000, 0.245), Zn at (0.500, 0.500, 0.500) and Pd at (0.500, 0.500, 0.000).

For the volume, the calculation gives 22.82 Å³/atom. The magnetic moment comes out at 3.60 μB per atom.

---

Stability summary: most stable <b>, least stable <a>.

---

<a>
Pm2Gd after structural relaxation. Source: Alexandria via LeMat-Bulk, functional PBE-GGA.

It has space group I4/mmm (No. 139), with a = 3.648 Å, b = 3.648 Å, c = 15.242 Å, α = 90.00°, β = 90.00° and γ = 90.00°. The inequivalent atoms are Pm at (0.000, 0.000, 0.167) and Gd at (0.000, 0.000, 0.500).

For the volume, the calculation gives 33.81 Å³/atom. The magnetic moment comes out at 2.49 μB per atom.

---

<b>
Pm2Gd after structural relaxation. Source: Alexandria via LeMat-Bulk, functional PBE-GGA.

It has space group Fd-3m (No. 227, origin choice 2), with a = 9.453 Å, b = 9.453 Å, c = 9.453 Å, α = 90.00°, β = 90.00° and γ = 90.00°. The inequivalent atoms are Pm at (0.000, 0.000, 0.000) and Gd at (0.125, 0.125, 0.625).

For the volume, the calculation gives 35.20 Å³/atom. The magnetic moment comes out at 2.51 μB per atom.

---

Stability summary: most stable <a>, least stable <b>.

---

<a>
Pm3Gd after structural relaxation. Source: Alexandria via LeMat-Bulk, functional PBE-GGA.

It has space group Fm-3m (No. 225), with a = 8.176 Å, b = 8.176 Å, c = 8.176 Å, α = 90.00°, β = 90.00° and γ = 90.00°. The inequivalent atoms are Pm at (0.000, 0.000, 0.000), Pm at (0.250, 0.250, 0.250) and Gd at (0.000, 0.000, 0.500).

For the volume, the calculation gives 34.16 Å³/atom. The magnetic moment comes out at 2.25 μB per atom.

---

<b>
Pm3Gd after structural relaxation. Source: Alexandria via LeMat-Bulk, functional PBE-GGA.

It has space group Pmm2 (No. 25), with a = 3.678 Å, b = 5.866 Å, c = 6.369 Å, α = 90.00°, β = 90.00° and γ = 90.00°. The inequivalent atoms are Pm at (0.000, 0.000, 0.000), Pm at (0.000, 0.500, 0.332), Pm at (0.500, 0.500, 0.833) and Gd at (0.500, 0.000, 0.500).

For the volume, the calculation gives 34.36 Å³/atom. The magnetic moment comes out at 1.92 μB per atom.

---

Stability summary: most stable <b>, least stable <a>.

---

<a>
PmGd after structural relaxation. Source: Alexandria via LeMat-Bulk, functional PBE-GGA.

It has space group Pm-3m (No. 221), with a = 4.064 Å, b = 4.064 Å, c = 4.064 Å, α = 90.00°, β = 90.00° and γ = 90.00°. The inequivalent atoms are Pm at (0.000, 0.000, 0.000) and Gd at (0.500, 0.500, 0.500).

For the volume, the calculation gives 33.56 Å³/atom. The magnetic moment comes out at 4.05 μB per atom.

---

<b>
PmGd after structural relaxation. Source: Alexandria via LeMat-Bulk, functional PBE-GGA.

It has space group P4/nmm (No. 129, origin choice 2), with a = 3.629 Å, b = 3.629 Å, c = 10.174 Å, α = 90.00°, β = 90.00° and γ = 90.00°. The inequivalent atoms are Pm at (0.250, 0.250, 0.126) and Gd at (0.250, 0.250, 0.624).

For the volume, the calculation gives 33.50 Å³/atom. The magnetic moment comes out at 3.73 μB per atom.

---

Stability summary: most stable <b>, least stable <a>.

---

<a>
PmGd3 after structural relaxation. Source: Alexandria via LeMat-Bulk, functional PBE-GGA.

It has space group Pm-3m (No. 221), with a = 5.083 Å, b = 5.083 Å, c = 5.083 Å, α = 90.00°, β = 90.00° and γ = 90.00°. The inequivalent atoms are Pm at (0.000, 0.000, 0.000) and Gd at (0.000, 0.500, 0.500).

For the volume, the calculation gives 32.84 Å³/atom. The magnetic moment comes out at 5.49 μB per atom.

---

<b>
PmGd3 after structural relaxation. Source: Alexandria via LeMat-Bulk, functional PBE-GGA.

It has space group Imm2 (No. 44), with a = 3.636 Å, b = 11.597 Å, c = 6.298 Å, α = 90.00°, β = 90.00° and γ = 90.00°. The inequivalent atoms are Pm at (0.000, 0.000, 0.000), Gd at (0.000, 0.250, 0.668) and Gd at (0.000, 0.500, 0.001).

For the volume, the calculation gives 33.20 Å³/atom. The magnetic moment comes out at 1.85 μB per atom.

---

Stability summary: most stable <b>, least stable <a>.

---

<a>
Pm2PrGd after structural relaxation. Source: Alexandria via LeMat-Bulk, functional PBE-GGA.

It has space group R-3m (No. 166, hexagonal axes), with a = 3.5560 Å, b = 3.5560 Å, c = 38.0638 Å, α = 90.00°, β = 90.00° and γ = 120.00°. The inequivalent atoms are Pm at (0.0000, 0.0000, 0.0901), Pr at (0.0000, 0.0000, 0.0000) and Gd at (0.0000, 0.0000, 0.5000).

For the volume, the calculation gives 34.74 Å³/atom. The magnetic moment comes out at 1.78 μB per atom.

---

<b>
Pm2PrGd after structural relaxation. Source: Alexandria via LeMat-Bulk, functional PBE-GGA.

It has space group P4/mmm (No. 123), with a = 5.158 Å, b = 5.158 Å, c = 5.169 Å, α = 90.00°, β = 90.00° and γ = 90.00°. The inequivalent atoms are Pm at (0.000, 0.500, 0.000), Pr at (0.000, 0.000, 0.500) and Gd at (0.500, 0.500, 0.500).

For the volume, the calculation gives 34.38 Å³/atom. The magnetic moment comes out at 1.83 μB per atom.

---

<c>
Pm2PrGd after structural relaxation. Source: Alexandria via LeMat-Bulk, functional PBE-GGA.

It has space group P4/mmm (No. 123), with a = 3.658 Å, b = 3.658 Å, c = 10.297 Å, α = 90.00°, β = 90.00° and γ = 90.00°. The inequivalent atoms are Pm at (0.000, 0.000, 0.246), Pr at (0.500, 0.500, 0.500) and Gd at (0.500, 0.500, 0.000).

For the volume, the calculation gives 34.45 Å³/atom. The magnetic moment comes out at 1.82 μB per atom.

---

Stability summary: most stable <b>, least stable <a>.